(1)
Material: NaRe2C
Method: DFT, PBE-GGA
State: optimized geometry

Geometry as CIF:
```
data_NaRe2C
_chemical_formula_sum 'Na4 Re8 C4'
_space_group_name_H-M_alt 'I -4 2 d'
_space_group_IT_number 122
_space_group_name_Hall 'I -4 2bw'
_cell_length_a 5.2533
_cell_length_b 5.2533
_cell_length_c 11.6078
_cell_angle_alpha 90.00
_cell_angle_beta 90.00
_cell_angle_gamma 90.00
loop_
_atom_site_label
_atom_site_type_symbol
_atom_site_fract_x
_atom_site_fract_y
_atom_site_fract_z
_atom_site_occupancy
Na1 Na 0.0000 0.0000 0.0000 1
Re1 Re 0.0408 0.2500 0.6250 1
C1 C 0.0000 0.0000 0.5000 1
```

---

(2)
Material: Na2ReRuC
Method: DFT, PBE-GGA
State: optimized geometry

Geometry as CIF:
```
data_Na2ReRuC
_chemical_formula_sum 'Na2 Re1 Ru1 C1'
_space_group_name_H-M_alt 'P 4/m m m'
_space_group_IT_number 123
_space_group_name_Hall '-P 4 2'
_cell_length_a 5.6457
_cell_length_b 5.6457
_cell_length_c 3.8236
_cell_angle_alpha 90.00
_cell_angle_beta 90.00
_cell_angle_gamma 90.00
loop_
_atom_site_label
_atom_site_type_symbol
_atom_site_fract_x
_atom_site_fract_y
_atom_site_fract_z
_atom_site_occupancy
Na1 Na 0.0000 0.5000 0.0000 1
Re1 Re 0.0000 0.0000 0.0000 1
Ru1 Ru 0.5000 0.5000 0.5000 1
C1 C 0.0000 0.0000 0.5000 1
```

---

| no. | formation energy (meV/atom) |
| --- | --- |
| 1 | 1422 |
| 2 | 1949 |